Entry 1:
Below is a relaxed LaCoSb4 crystal, with properties calculated at the GGA-PBE level.

a = 6.1958 Å, b = 6.1958 Å, c = 6.1958 Å
α = 60.00°, β = 60.00°, γ = 60.00°
Last column: nearest neighbours and their distance in Å.
Atoms (fractional coordinates):
Sb 0.3763 0.3763 0.3763  6 Sb 3.07-3.13
Sb 0.8711 0.3763 0.3763  6 Sb 3.07-3.13
Sb 0.3763 0.3763 0.8711  6 Sb 3.07-3.13
Sb 0.3763 0.8711 0.3763  6 Sb 3.07-3.13
Co 0.7500 0.7500 0.7500  12 Sb 3.63, 4 La 3.79
La 0.0000 0.0000 0.0000  12 Sb 3.64, 4 Co 3.79

- total magnetization (μB per formula unit) = 1.94
- uncorrected formation energy (eV per formula unit) = 1.50
- calculated volume (Å³/atom) = 28.03

Entry 2:
Below is a relaxed TeC2S2 crystal, with properties calculated at the GGA-PBE level.

a = 3.4779 Å, b = 3.4779 Å, c = 8.5811 Å
α = 78.31°, β = 78.31°, γ = 90.00°
Last column: nearest neighbours and their distance in Å.
Atoms (fractional coordinates):
S 0.7076 0.7076 0.5847  4 C 1.87
S 0.2924 0.2924 0.4153  4 C 1.87
Te 0.0000 0.0000 0.0000  4 Te 3.48
C 0.2500 0.7500 0.5000  4 S 1.87
C 0.7500 0.2500 0.5000  4 S 1.87

- total magnetization (μB per formula unit) = 0.00
- uncorrected formation energy (eV per formula unit) = 6.13
- calculated volume (Å³/atom) = 19.89

Entry 3:
Below is a relaxed Ga2BiPb2 crystal, with properties calculated at the GGA-PBE level.

a = 7.8124 Å, b = 7.8124 Å, c = 4.4867 Å
α = 90.00°, β = 90.00°, γ = 90.00°
Last column: nearest neighbours and their distance in Å.
Atoms (fractional coordinates):
Bi 0.5000 0.5000 0.0000  4 Ga 3.10
Bi 0.0000 0.0000 0.0000  4 Ga 3.10
Pb 0.3200 0.1800 0.5000  6 Ga 3.13-3.29
Pb 0.6800 0.8200 0.5000  6 Ga 3.13-3.29
Pb 0.1800 0.6800 0.5000  6 Ga 3.13-3.29
Pb 0.8200 0.3200 0.5000  6 Ga 3.13-3.29
Ga 0.6225 0.1225 0.0000  1 Ga 2.71
Ga 0.3775 0.8775 0.0000  1 Ga 2.71
Ga 0.8775 0.6225 0.0000  1 Ga 2.71
Ga 0.1225 0.3775 0.0000  1 Ga 2.71

- total magnetization (μB per formula unit) = 0.00
- calculated volume (Å³/atom) = 27.38
- E_tot (eV/cell) = -34.05